[1]
Below is a relaxed Si2BOsC crystal, with properties calculated at the GGA-PBEsol level.

Computed properties:
As for the uncorrected formation energy: 1.62 eV/atom. The calculation puts the magnetization at 0.000 μB/atom. The value obtained for the final energy is -32.25 eV per cell.

a = 4.682 Å, b = 4.682 Å, c = 3.787 Å
α = 90.00°, β = 90.00°, γ = 90.00°
Sites, in units of the cell vectors:
Si  0.000  0.500  0.000
Si  0.500  0.000  0.000
B  0.000  0.000  0.500
Os  0.500  0.500  0.000
C  0.500  0.500  0.500



[2]
Below is a relaxed NaMg2TlO crystal, with properties calculated at the GGA-PBEsol level.

Computed properties:
As for the uncorrected formation energy: 0.17 eV/atom. The calculation puts the magnetization at 0.000 μB/atom. The value obtained for the final energy is -11.85 eV per cell.

a = 5.429 Å, b = 5.429 Å, c = 3.935 Å
α = 90.00°, β = 90.00°, γ = 90.00°
Sites, in units of the cell vectors:
Na  0.000  0.000  0.000
Mg  0.000  0.500  0.000
Mg  0.500  0.000  0.000
Tl  0.500  0.500  0.500
O  0.000  0.000  0.500



[3]
Below is a relaxed HgIrSe2 crystal, with properties calculated at the GGA-PBEsol level.

Computed properties:
As for the uncorrected formation energy: 0.07 eV/atom. The calculation puts the magnetization at 0.000 μB/atom. The value obtained for the final energy is -17.80 eV per cell.

a = 7.438 Å, b = 7.438 Å, c = 7.438 Å
α = 28.35°, β = 28.35°, γ = 28.35°
Sites, in units of the cell vectors:
Hg  0.000  0.000  0.000
Ir  0.752  0.752  0.752
Se  0.256  0.256  0.256
Se  0.472  0.472  0.472



[4]
Below is a relaxed AgMo12PbS16 crystal, with properties calculated at the GGA-PBEsol level.

Computed properties:
As for the uncorrected formation energy: -0.72 eV/atom. The calculation puts the magnetization at 0.000 μB/atom. The value obtained for the final energy is -240.31 eV per cell.

a = 9.090 Å, b = 9.090 Å, c = 9.090 Å
α = 60.24°, β = 60.24°, γ = 60.24°
Sites, in units of the cell vectors:
Ag  0.000  0.000  0.000
Mo  0.037  0.373  0.181
Mo  0.122  0.316  0.464
Mo  0.181  0.037  0.373
Mo  0.316  0.464  0.122
Mo  0.373  0.181  0.037
Mo  0.464  0.122  0.316
Mo  0.536  0.878  0.684
Mo  0.627  0.819  0.963
Mo  0.684  0.536  0.878
Mo  0.819  0.963  0.627
Mo  0.878  0.684  0.536
Mo  0.963  0.627  0.819
Pb  0.500  0.500  0.500
S  0.003  0.611  0.259
S  0.114  0.114  0.114
S  0.117  0.757  0.503
S  0.243  0.497  0.883
S  0.259  0.003  0.611
S  0.380  0.380  0.380
S  0.389  0.741  0.997
S  0.497  0.883  0.243
S  0.503  0.117  0.757
S  0.611  0.259  0.003
S  0.620  0.620  0.620
S  0.741  0.997  0.389
S  0.757  0.503  0.117
S  0.883  0.243  0.497
S  0.886  0.886  0.886
S  0.997  0.389  0.741



[5]
Below is a relaxed SiHgO2 crystal, with properties calculated at the GGA-PBEsol level.

Computed properties:
As for the uncorrected formation energy: -1.88 eV/atom. The calculation puts the magnetization at 0.000 μB/atom. The value obtained for the final energy is -48.63 eV per cell.

a = 5.365 Å, b = 5.365 Å, c = 5.365 Å
α = 60.00°, β = 60.00°, γ = 60.00°
Sites, in units of the cell vectors:
Si  0.125  0.125  0.125
Si  0.875  0.875  0.875
Hg  0.375  0.375  0.375
Hg  0.625  0.625  0.625
O  0.000  0.000  0.000
O  0.000  0.000  0.500
O  0.000  0.500  0.000
O  0.500  0.000  0.000



[6]
Below is a relaxed Zr2BeAs crystal, with properties calculated at the GGA-PBEsol level.

Computed properties:
The calculation puts the magnetization at 0.000 μB/atom. The value obtained for the final energy is -28.91 eV per cell. The offset from the most stable computed form comes out at 0.416 eV/atom.

a = 5.381 Å, b = 5.381 Å, c = 5.381 Å
α = 140.92°, β = 135.77°, γ = 60.47°
Sites, in units of the cell vectors:
Zr  0.000  0.000  0.000
Zr  0.737  0.237  0.500
Be  0.468  0.468  0.000
As  0.277  0.777  0.500



Question: What is the magnetization in the fifth record?
Answer: 0.000 μB/atom